#1
DFT (PBE) results for CaGe2Br6 after structural relaxation.

```
CaGe2Br6
1.0
4.143 0.000 0.000
-2.072 7.089 -2.690
0.000 0.197 10.623
Br Ca Ge
6 1 2
Direct
0.694 0.389 0.114
0.306 0.611 0.886
0.358 0.715 0.441
0.969 0.938 0.213
0.031 0.062 0.787
0.642 0.285 0.559
0.000 0.000 0.500
0.332 0.663 0.163
0.668 0.337 0.837
```

Output
The crystal system is monoclinic. The value obtained for the total magnetization is 0.0 Bohr magnetons per cell. The symmetry is C2/m (12).



#2
DFT (PBE) results for CaGe2Br6 after structural relaxation.

```
CaGe2Br6
1.0
-5.582 -4.762 0.246
1.185 -6.941 2.077
-2.732 -2.062 7.641
Br Ca Ge
6 1 2
Direct
0.606 0.949 0.205
0.705 0.486 0.737
0.072 0.705 0.737
0.949 0.240 0.205
0.240 0.606 0.205
0.486 0.072 0.737
0.336 0.336 0.991
0.699 0.699 0.903
0.572 0.572 0.283
```

Output
The crystal system is trigonal. The value obtained for the total magnetization is 0.0 Bohr magnetons per cell. The symmetry is R3 (146).



Energetically preferred structure: #1 | next structure: +6.1 kJ/mol of atoms



#1
DFT (PBE) results for Ca2GeBr after structural relaxation.

```
Ca2GeBr
1.0
0.000 3.755 3.755
3.755 0.000 3.755
3.755 3.755 0.000
Br Ca Ge
1 2 1
Direct
0.500 0.500 0.500
0.750 0.750 0.750
0.250 0.250 0.250
0.000 0.000 0.000
```

Output
The crystal system is cubic. The value obtained for the total magnetization is 1.0 Bohr magnetons per cell. The symmetry is Fm-3m (225).



#2
DFT (PBE) results for Ca2GeBr after structural relaxation.

```
Ca2GeBr
1.0
-0.031 -3.664 -1.919
2.718 -0.775 -3.020
6.018 -4.319 3.692
Br Ca Ge
1 2 1
Direct
0.497 0.497 0.510
0.074 0.074 0.777
0.261 0.261 0.216
0.668 0.668 0.997
```

Output
The crystal system is trigonal. The value obtained for the total magnetization is 0.0 Bohr magnetons per cell. The symmetry is R3m (160).



Energetically preferred structure: #2 | next structure: +21.6 kJ/mol of atoms